# MgTlIn2Tc | Alexandria via LeMat-Bulk | SCAN | single point on PBEsol structure
# Calculated total energy (eV for the cell shown): -173.6
# Formation energy from the elements (eV/atom): 1.1114
data_MgTlIn2Tc
_space_group_name_H-M_alt 'P 4/m m m'
_space_group_IT_number 123
_space_group_name_Hall '-P 4 2'
_cell_length_a 5.210
_cell_length_b 5.210
_cell_length_c 5.204
_cell_angle_alpha 90.00
_cell_angle_beta 90.00
_cell_angle_gamma 90.00
loop_
_atom_site_label
_atom_site_fract_x
_atom_site_fract_y
_atom_site_fract_z
Mg1 0.000 0.000 0.000
Tl1 0.000 0.000 0.500
In1 0.000 0.500 0.000
Tc1 0.500 0.500 0.500